This record from Alexandria via LeMat-Bulk describes a geometry-optimized BeCdSb2 structure. The functional is PBE.

POSCAR file:
```
BeCdSb2
1.0
9.6564 0.0000 0.0000
0.0000 3.7899 0.0000
-2.4311 0.0000 5.2557
Be Cd Sb
2 2 4
Direct
0.0000 0.0000 0.0000
0.5000 0.5000 0.0000
0.2319 0.5000 0.9950
0.7319 0.0000 0.9950
0.0529 0.5000 0.3212
0.3819 0.0000 0.6790
0.5529 0.0000 0.3212
0.8819 0.5000 0.6790
```

Calculated values
Polymorph energy (0 for the lowest one) in meV per atom: 92
ΔE_f (raw) in eV per formula unit: 1.21
Crystal system: monoclinic
Raw total energy in eV per cell: -23.4
Total magnetization in μB per atom: 0.00

***

This record from Alexandria via LeMat-Bulk describes a geometry-optimized BeCd2Sb structure. The functional is PBE.

POSCAR file:
```
BeCd2Sb
1.0
5.7034 0.0000 0.0000
0.0000 10.6501 0.0000
-2.8081 0.0000 2.8760
Be Cd Sb
2 4 2
Direct
0.0000 0.0000 0.0000
0.5000 0.5000 0.0000
0.2500 0.2500 0.5000
0.2500 0.7500 0.5000
0.7500 0.2500 0.5000
0.7500 0.7500 0.5000
0.0000 0.5000 0.0000
0.5000 0.0000 0.0000
```

Calculated values
Polymorph energy (0 for the lowest one) in meV per atom: 207
ΔE_f (raw) in eV per formula unit: 1.65
Crystal system: monoclinic
Raw total energy in eV per cell: -16.1
Total magnetization in μB per atom: 0.00

***

This record from Alexandria via LeMat-Bulk describes a geometry-optimized Be2CdSb structure. The functional is PBE.

POSCAR file:
```
Be2CdSb
1.0
4.2591 0.0000 0.0000
0.0000 4.5828 0.0000
0.0000 0.0000 7.3266
Be Cd Sb
4 2 2
Direct
0.0000 0.0000 0.0000
0.0000 0.5000 0.1294
0.5000 0.0000 0.1294
0.5000 0.5000 0.0000
0.0000 0.5000 0.7738
0.5000 0.0000 0.7738
0.0000 0.0000 0.3522
0.5000 0.5000 0.3522
```

Calculated values
Polymorph energy (0 for the lowest one) in meV per atom: 187
ΔE_f (raw) in eV per formula unit: 1.98
Crystal system: orthorhombic
Raw total energy in eV per cell: -21.0
Total magnetization in μB per atom: 0.00

***

This record from Alexandria via LeMat-Bulk describes a geometry-optimized Be3CdSb structure. The functional is PBE.

POSCAR file:
```
Be3CdSb
1.0
4.7463 0.0000 0.0000
0.0000 4.7463 0.0000
0.0000 0.0000 4.7463
Be Cd Sb
3 1 1
Direct
0.0000 0.0000 0.5000
0.0000 0.5000 0.0000
0.5000 0.0000 0.0000
0.5000 0.5000 0.5000
0.0000 0.0000 0.0000
```

Calculated values
Polymorph energy (0 for the lowest one) in meV per atom: 98
ΔE_f (raw) in eV per formula unit: 5.83
Crystal system: cubic
Raw total energy in eV per cell: -10.4
Total magnetization in μB per atom: 0.00

***

This record from Alexandria via LeMat-Bulk describes a geometry-optimized BeCd2Sb structure. The functional is PBE.

POSCAR file:
```
BeCd2Sb
1.0
2.9954 0.0000 0.0000
0.0000 3.6644 0.0000
0.0000 0.0000 7.7894
Be Cd Sb
1 2 1
Direct
0.0000 0.0000 0.0000
0.0000 0.0000 0.4875
0.5000 0.5000 0.2205
0.5000 0.5000 0.8257
```

Calculated values
Polymorph energy (0 for the lowest one) in meV per atom: 144
ΔE_f (raw) in eV per formula unit: 1.40
Crystal system: orthorhombic
Raw total energy in eV per cell: -8.3
Total magnetization in μB per atom: 0.00

***

This record from Alexandria via LeMat-Bulk describes a geometry-optimized Be2CdSb structure. The functional is PBE.

POSCAR file:
```
Be2CdSb
1.0
3.5039 0.0000 0.0000
0.0000 3.6365 0.0000
0.0000 0.0000 11.5853
Be Cd Sb
4 2 2
Direct
0.0000 0.0000 0.0000
0.0000 0.5000 0.0981
0.5000 0.0000 0.5981
0.5000 0.5000 0.5000
0.0000 0.5000 0.6964
0.5000 0.0000 0.1964
0.0000 0.0000 0.4321
0.5000 0.5000 0.9321
```

Calculated values
Polymorph energy (0 for the lowest one) in meV per atom: 154
ΔE_f (raw) in eV per formula unit: 1.85
Crystal system: orthorhombic
Raw total energy in eV per cell: -21.3
Total magnetization in μB per atom: 0.00